An optimized crystal structure of TbSm6Tm3. Source: Alexandria via LeMat-Bulk, functional PBE.

Computed properties:
For the energy above the most stable polymorph in this dataset, the calculation gives 0 meV/atom. Its total energy is -4.5069 eV/atom. The value obtained for the calculated formation energy is 0.13 eV/atom.

Cell: 6.392 11.642 11.642 Å, 130.61 90.00 90.00°
Element x y z (fractional)
Tb 0.512 0.841 0.159
Sm 0.824 0.894 0.456
Tm 0.989 0.706 0.957
Sm 0.794 0.301 0.699
Sm 0.824 0.544 0.106
Sm 0.312 0.984 0.016
Tb 0.012 0.159 0.841
Tm 0.989 0.043 0.294
Sm 0.324 0.106 0.544
Sm 0.573 0.261 0.379
Sm 0.573 0.621 0.739
Sm 0.324 0.456 0.894
Tm 0.489 0.294 0.043
Tm 0.094 0.419 0.581
Sm 0.812 0.016 0.984
Tm 0.489 0.957 0.706
Sm 0.073 0.739 0.621
Sm 0.073 0.379 0.261
Tm 0.594 0.581 0.419
Sm 0.294 0.699 0.301